! Na2YF6 (PBEsol, relaxed); values from VASP
&SYSTEM
  ibrav = 0, nat = 9, ntyp = 3
/
ATOMIC_SPECIES
Y 88.91 Y.upf
Na 22.99 Na.upf
F 19.00 F.upf
CELL_PARAMETERS angstrom
3.516 0.000 0.000
0.000 5.990 0.000
0.000 -2.995 5.187
ATOMIC_POSITIONS crystal
Y 0.000 0.000 0.000
Na 0.500 0.667 0.333
Na 0.500 0.333 0.667
F 0.500 0.000 0.249
F 0.500 0.249 0.000
F 0.500 0.751 0.751
F 0.000 0.374 0.374
F 0.000 0.626 0.000
F 0.000 0.000 0.626
! Calculated volume (Å³ per atom): 12.136
! Calculated total energy (eV per cell): -48.6

=====

! LiTcPt3 (PBEsol, relaxed); values from VASP
&SYSTEM
  ibrav = 0, nat = 5, ntyp = 3
/
ATOMIC_SPECIES
Tc 98.00 Tc.upf
Pt 195.08 Pt.upf
Li 6.94 Li.upf
CELL_PARAMETERS angstrom
4.751 0.000 0.000
0.000 4.751 0.000
0.000 0.000 4.751
ATOMIC_POSITIONS crystal
Tc 0.000 0.000 0.000
Pt 0.000 0.500 0.000
Pt 0.000 0.000 0.500
Pt 0.500 0.000 0.000
Li 0.500 0.500 0.500
! ΔH_f (0 K) (eV/f.u.): 4.86
! Calculated volume (Å³ per atom): 21.450

=====

! Be3MoF (PBEsol, relaxed); values from VASP
&SYSTEM
  ibrav = 0, nat = 5, ntyp = 3
/
ATOMIC_SPECIES
Be 9.01 Be.upf
Mo 95.94 Mo.upf
F 19.00 F.upf
CELL_PARAMETERS angstrom
4.441 0.000 0.000
0.000 4.441 0.000
0.000 0.000 4.441
ATOMIC_POSITIONS crystal
Be 0.000 0.500 0.000
Be 0.000 0.000 0.500
Be 0.500 0.000 0.000
Mo 0.000 0.000 0.000
F 0.500 0.500 0.500
! Calculated volume (Å³ per atom): 17.513
! Calculated total energy (eV per cell): -17.8

=====

! CsZn2Cu (PBEsol, relaxed); values from VASP
&SYSTEM
  ibrav = 0, nat = 4, ntyp = 3
/
ATOMIC_SPECIES
Cs 132.91 Cs.upf
Zn 65.41 Zn.upf
Cu 63.55 Cu.upf
CELL_PARAMETERS angstrom
-4.017 2.513 -2.191
-1.848 -1.565 -4.625
-4.673 -2.308 -0.298
ATOMIC_POSITIONS crystal
Cs 0.500 0.500 0.500
Zn 0.250 0.250 0.250
Zn 0.750 0.750 0.750
Cu 0.000 0.000 0.000
! ΔH_f (0 K) (eV/f.u.): 2.68
! Calculated volume (Å³ per atom): 25.148

=====

! YSbRh2 (PBEsol, relaxed); values from VASP
&SYSTEM
  ibrav = 0, nat = 4, ntyp = 3
/
ATOMIC_SPECIES
Rh 102.91 Rh.upf
Sb 121.76 Sb.upf
Y 88.91 Y.upf
CELL_PARAMETERS angstrom
3.704 0.000 0.000
0.000 4.385 0.000
0.000 0.000 4.385
ATOMIC_POSITIONS crystal
Rh 0.000 0.000 0.500
Rh 0.000 0.500 0.000
Sb 0.500 0.500 0.500
Y 0.500 0.000 0.000
! Calculated volume (Å³ per atom): 17.809
! Calculated total energy (eV per cell): -30.4

=====

! TeIr2Cl (PBEsol, relaxed); values from VASP
&SYSTEM
  ibrav = 0, nat = 4, ntyp = 3
/
ATOMIC_SPECIES
Ir 192.22 Ir.upf
Te 127.60 Te.upf
Cl 35.45 Cl.upf
CELL_PARAMETERS angstrom
-0.047 3.442 0.885
-2.445 0.857 -3.464
-3.568 -0.654 2.356
ATOMIC_POSITIONS crystal
Ir 0.000 0.000 0.500
Ir 0.000 0.500 0.000
Te 0.500 0.500 0.500
Cl 0.500 0.000 0.000
! Calculated volume (Å³ per atom): 16.622
! ΔE to the lowest computed polymorph (eV/atom): 0.4396